# PBE Pm3Zn8Ni, relaxed
# Total energy in Ry per atom: -0.2022
# Formation energy in meV/atom: -232
data_Pm3Zn8Ni
_space_group_name_H-M_alt 'R 3 m'
_space_group_IT_number 160
_space_group_name_Hall 'R 3 -2"'
_cell_length_a 5.3518
_cell_length_b 5.3518
_cell_length_c 27.4650
_cell_angle_alpha 90.00
_cell_angle_beta 90.00
_cell_angle_gamma 120.00
loop_
_atom_site_label
_atom_site_type_symbol
_atom_site_fract_x
_atom_site_fract_y
_atom_site_fract_z
Pm1 Pm 0.0000 0.0000 0.0000
Pm2 Pm 0.0000 0.0000 0.1274
Pm3 Pm 0.0000 0.0000 0.6117
Zn1 Zn 0.0000 0.0000 0.3073
Zn2 Zn 0.0000 0.0000 0.8102
Zn3 Zn 0.0013 0.5007 0.5567
Zn4 Zn 0.0020 0.5010 0.0612
Ni1 Ni 0.0000 0.0000 0.5100